Below is an optimized crystal structure of BaLaRe2, with properties calculated at the GGA-PBE level.

a b c (Å): 4.091 4.091 7.021
angles (deg): 90.00 90.00 90.00
Space group P4/mmm (No. 123)
Symmetry-distinct sites (fractional):
Ba 0.000 0.000 0.000 [1 per cell]
La 0.000 0.000 0.500 [1 per cell]
Re 0.500 0.500 0.338 [2 per cell]

## Properties
Energy of formation   0.87 eV/atom
Total moment   0.000 μB per formula unit
Energy relative to the lowest polymorph listed for this composition   617 meV/atom


Below is an optimized crystal structure of Tm7Hg2Pb2, with properties calculated at the GGA-PBE level.

a b c (Å): 8.321 11.057 7.342
angles (deg): 90.00 90.00 90.00
Space group Cmmm (No. 65)
Symmetry-distinct sites (fractional):
Tm 0.000 0.000 0.000 [2 per cell]
Tm 0.000 0.500 0.247 [4 per cell]
Tm 0.250 0.250 0.272 [8 per cell]
Hg 0.000 0.285 0.000 [4 per cell]
Pb 0.186 0.000 0.500 [4 per cell]

## Properties
Energy of formation   -0.08 eV/atom
Total moment   0.000 μB per formula unit


Which of these has the lowest energy of formation? Tm7Hg2Pb2


Among the records above, which one has the highest energy of formation? BaLaRe2


energy of formation of number 2 (Tm7Hg2Pb2)? -0.08 eV/atom


Which value of total moment does entry 2 give? 0.000 μB per formula unit